1.
Compound: SbP2Se
Source: Alexandria via LeMat-Bulk
Functional: PBE-GGA
Structure: optimized geometry

Results
Its spin magnetization is 0.00 μB per cell. Its total energy is -3.98 eV/atom. For the calculated volume, the calculation gives 19.21 Å³/atom. For the offset from the most stable computed form, the calculation gives 11.27 kcal/mol of atoms. The value obtained for the uncorrected formation energy is 2.496 eV/f.u.

Structure (extended XYZ):
```
4
Lattice="4.7746 0.0000 0.0000 0.0000 4.7746 0.0000 0.0000 0.0000 3.3701" Properties=species:S:1:pos:R:3 pbc="T T T"
Sb 0.0000 0.0000 0.0000
P 0.0000 2.3873 1.6851
P 2.3873 0.0000 1.6851
Se 2.3873 2.3873 0.0000
```



2.
Compound: SbPSe2
Source: Alexandria via LeMat-Bulk
Functional: PBE-GGA
Structure: optimized geometry

Results
Its spin magnetization is 0.00 μB per cell. Its total energy is -3.96 eV/atom. For the calculated volume, the calculation gives 22.83 Å³/atom. For the offset from the most stable computed form, the calculation gives 3.70 kcal/mol of atoms. The value obtained for the uncorrected formation energy is 0.649 eV/f.u.

Structure (extended XYZ):
```
4
Lattice="2.8864 -3.9558 0.0000 2.8864 3.9558 0.0000 0.0000 0.0000 3.9983" Properties=species:S:1:pos:R:3 pbc="T T T"
Sb 0.0000 0.0000 0.0000
P 2.8864 0.0000 0.0000
Se 2.8864 1.8639 1.9991
Se 2.8864 -1.8639 1.9991
```



3.
Compound: Sb2PSe
Source: Alexandria via LeMat-Bulk
Functional: PBE-GGA
Structure: optimized geometry

Results
Its spin magnetization is 0.00 μB per cell. Its total energy is -3.94 eV/atom. For the calculated volume, the calculation gives 24.83 Å³/atom. For the offset from the most stable computed form, the calculation gives 7.40 kcal/mol of atoms. The value obtained for the uncorrected formation energy is 1.370 eV/f.u.

Structure (extended XYZ):
```
4
Lattice="-1.9785 3.1604 3.9717 1.9785 -3.1604 3.9717 1.9785 3.1604 -3.9717" Properties=species:S:1:pos:R:3 pbc="T T T"
Sb 0.0000 0.0000 1.8422
Sb 0.0000 0.0000 6.1012
P 1.9785 0.0000 0.0000
Se 0.0000 3.1604 0.0000
```



4.
Compound: Sb4PSe
Source: Alexandria via LeMat-Bulk
Functional: PBE-GGA
Structure: optimized geometry

Results
Its spin magnetization is 0.82 μB per cell. Its total energy is -3.49 eV/atom. For the calculated volume, the calculation gives 26.79 Å³/atom. The value obtained for the uncorrected formation energy is 4.441 eV/f.u.

Structure (extended XYZ):
```
6
Lattice="0.0000 4.3157 4.3157 4.3157 0.0000 4.3157 4.3157 4.3157 0.0000" Properties=species:S:1:pos:R:3 pbc="T T T"
Sb 1.0751 1.0751 1.0751
Sb 3.2406 3.2406 1.0751
Sb 3.2406 1.0751 3.2406
Sb 1.0751 3.2406 3.2406
P 4.3157 4.3157 4.3157
Se 6.4736 6.4736 6.4736
```



5.
Compound: SbPSe2
Source: Alexandria via LeMat-Bulk
Functional: PBE-GGA
Structure: optimized geometry

Results
Its spin magnetization is 0.00 μB per cell. Its total energy is -3.90 eV/atom. For the calculated volume, the calculation gives 30.80 Å³/atom. For the offset from the most stable computed form, the calculation gives 5.12 kcal/mol of atoms. The value obtained for the uncorrected formation energy is 0.893 eV/f.u.

Structure (extended XYZ):
```
4
Lattice="1.8188 -3.7561 0.0000 1.8188 3.7561 0.0000 0.0000 0.0000 9.0169" Properties=species:S:1:pos:R:3 pbc="T T T"
Sb 0.0000 0.0000 0.0000
P 1.8188 0.0000 6.8113
Se 0.0000 0.0000 5.3612
Se 1.8188 0.0000 1.8316
```



6.
Compound: SbPSe2
Source: Alexandria via LeMat-Bulk
Functional: PBE-GGA
Structure: optimized geometry

Results
Its spin magnetization is 0.00 μB per cell. Its total energy is -4.08 eV/atom. For the calculated volume, the calculation gives 31.93 Å³/atom. For the offset from the most stable computed form, the calculation gives 0.98 kcal/mol of atoms. The value obtained for the uncorrected formation energy is 0.176 eV/f.u.

Structure (extended XYZ):
```
16
Lattice="6.0697 0.0000 0.0000 0.0000 4.0400 0.0000 0.0000 0.0000 20.8356" Properties=species:S:1:pos:R:3 pbc="T T T"
Sb 0.5210 1.0100 0.9458
Sb 2.5139 3.0300 11.3636
Sb 3.5558 1.0100 9.4720
Sb 5.5487 3.0300 19.8898
P 1.4246 3.0300 7.1057
P 1.6103 1.0100 17.5235
P 4.4594 3.0300 3.3121
P 4.6451 1.0100 13.7299
Se 0.5175 3.0300 3.4580
Se 1.0347 1.0100 8.6986
Se 2.0001 3.0300 19.1164
Se 2.5173 1.0100 13.8758
Se 3.5523 3.0300 6.9598
Se 4.0696 1.0100 1.7192
Se 5.0349 3.0300 12.1370
Se 5.5522 1.0100 17.3775
```



7.
Compound: Sb2PSe
Source: Alexandria via LeMat-Bulk
Functional: PBE-GGA
Structure: optimized geometry

Results
Its spin magnetization is 0.00 μB per cell. Its total energy is -4.15 eV/atom. For the calculated volume, the calculation gives 24.83 Å³/atom. For the offset from the most stable computed form, the calculation gives 2.58 kcal/mol of atoms. The value obtained for the uncorrected formation energy is 0.534 eV/f.u.

Structure (extended XYZ):
```
4
Lattice="2.9951 -4.1552 0.0000 2.9951 4.1552 0.0000 0.0000 0.0000 3.9902" Properties=species:S:1:pos:R:3 pbc="T T T"
Sb 2.9951 2.2249 0.0000
Sb 2.9951 -2.2249 0.0000
P 0.0000 0.0000 1.9951
Se 2.9951 0.0000 1.9951
```



8.
Compound: SbPSe2
Source: Alexandria via LeMat-Bulk
Functional: PBE-GGA
Structure: optimized geometry

Results
Its spin magnetization is 0.00 μB per cell. Its total energy is -4.12 eV/atom. For the calculated volume, the calculation gives 29.79 Å³/atom. For the offset from the most stable computed form, the calculation gives 0.00 kcal/mol of atoms. The value obtained for the uncorrected formation energy is 0.006 eV/f.u.

Structure (extended XYZ):
```
16
Lattice="6.1213 0.0000 0.0000 -2.7267 6.7917 0.0000 -1.0209 -1.5428 11.4653" Properties=species:S:1:pos:R:3 pbc="T T T"
Sb 0.0000 0.0000 0.0000
Sb -2.1640 4.6063 2.9231
Sb -0.3753 3.4370 8.0977
Sb 0.4439 5.8358 4.1105
P 0.2325 0.3882 2.5870
P -0.5155 0.7449 8.7825
P 1.6344 0.3346 9.3895
P 2.4857 2.7851 6.0814
Se -1.3309 1.0328 10.8683
Se 0.2146 2.7459 5.5823
Se -1.1310 5.3030 10.8492
Se 2.2786 1.3327 3.0071
Se 1.3476 4.7226 1.9798
Se 2.7558 -0.3612 7.6142
Se 2.3125 3.4933 8.3013
Se 3.1802 4.9412 5.4292
```



9.
Compound: SbP2Se
Source: Alexandria via LeMat-Bulk
Functional: PBE-GGA
Structure: optimized geometry

Results
Its spin magnetization is 0.00 μB per cell. Its total energy is -4.36 eV/atom. For the calculated volume, the calculation gives 24.71 Å³/atom. For the offset from the most stable computed form, the calculation gives 2.59 kcal/mol of atoms. The value obtained for the uncorrected formation energy is 0.990 eV/f.u.

Structure (extended XYZ):
```
4
Lattice="6.8646 -1.7215 0.0000 6.8646 1.7215 0.0000 -1.0983 0.0000 4.1827" Properties=species:S:1:pos:R:3 pbc="T T T"
Sb 0.0000 0.0000 0.0000
P 1.8176 0.0000 1.9684
P 6.9867 0.0000 2.6638
Se 10.2541 0.0000 1.5102
```



10.
Compound: Sb3P5Se12
Source: Alexandria via LeMat-Bulk
Functional: PBE-GGA
Structure: optimized geometry

Results
Its spin magnetization is 0.00 μB per cell. Its total energy is -3.93 eV/atom. For the calculated volume, the calculation gives 25.59 Å³/atom. The value obtained for the uncorrected formation energy is 2.670 eV/f.u.

Structure (extended XYZ):
```
80
Lattice="-7.9994 7.9994 7.9994 7.9994 -7.9994 7.9994 7.9994 7.9994 -7.9994" Properties=species:S:1:pos:R:3 pbc="T T T"
Sb 3.9997 1.9999 0.0000
Sb 7.9994 3.9997 -1.9999
Sb 1.9999 0.0000 3.9997
Sb 9.9993 0.0000 3.9997
Sb 0.0000 3.9997 1.9999
Sb 3.9997 -1.9999 7.9994
Sb 3.9997 9.9993 0.0000
Sb 7.9994 3.9997 5.9996
Sb -1.9999 7.9994 3.9997
Sb 5.9996 7.9994 3.9997
Sb 0.0000 3.9997 9.9993
Sb 3.9997 5.9996 7.9994
P 0.0000 0.0000 0.0000
P 3.9997 3.9997 -3.9997
P 3.9997 -3.9997 3.9997
P 7.9994 0.0000 0.0000
P 11.9991 1.9999 0.0000
P 7.9994 -3.9997 5.9996
P 5.9996 7.9994 -3.9997
P 5.9996 0.0000 3.9997
P 3.9997 5.9996 0.0000
P 7.9994 3.9997 1.9999
P -3.9997 3.9997 3.9997
P 0.0000 7.9994 0.0000
P 0.0000 0.0000 7.9994
P 3.9997 3.9997 3.9997
P 0.0000 3.9997 5.9996
P 3.9997 1.9999 7.9994
P 1.9999 7.9994 3.9997
P 1.9999 0.0000 11.9991
P 0.0000 11.9991 1.9999
P -3.9997 5.9996 7.9994
Se 2.4141 -0.4535 0.9297
Se 9.5851 4.9294 -4.4532
Se 10.4135 0.4535 0.9297
Se 9.5851 -3.0700 4.4532
Se 7.5459 -0.9297 2.4141
Se 12.4527 -1.5856 3.0700
Se 0.9297 2.4141 -0.4535
Se 11.0695 3.5462 -1.5856
Se 4.9294 4.4532 -1.5856
Se 7.0698 2.4141 0.4535
Se -0.4535 0.9297 2.4141
Se 4.4532 -1.5856 4.9294
Se 7.5459 7.0698 -2.4141
Se 4.4532 1.5856 3.0700
Se 4.9294 -4.4532 9.5851
Se 7.0698 -2.4141 7.5459
Se 3.0700 4.4532 1.5856
Se 8.9291 5.5853 0.4535
Se 4.4532 9.5851 -3.0700
Se 7.5459 0.9297 5.5853
Se 2.4141 7.5459 -0.9297
Se 9.5851 3.0700 3.5462
Se 1.5856 3.0700 4.4532
Se 2.4141 0.4535 7.0698
Se 5.5853 7.5459 0.9297
Se 6.4138 4.9294 3.5462
Se -1.5856 4.9294 4.4532
Se 5.5853 0.4535 8.9291
Se 0.4535 7.0698 2.4141
Se 3.5462 -1.5856 11.0695
Se -0.9297 2.4141 7.5459
Se 4.9294 3.5462 6.4138
Se 0.9297 10.4135 0.4535
Se 3.0700 12.4527 -1.5856
Se 3.5462 6.4138 4.9294
Se 0.4535 0.9297 10.4135
Se 3.5462 9.5851 3.0700
Se 8.4530 7.0698 5.5853
Se 0.9297 5.5853 7.5459
Se 3.0700 3.5462 9.5851
Se -3.0700 4.4532 9.5851
Se 7.0698 5.5853 8.4530
Se -4.4532 9.5851 4.9294
Se 0.4535 8.9291 5.5853
Se -1.5856 11.0695 3.5462
Se -2.4141 7.5459 7.0698
Se -1.5856 3.0700 12.4527
Se 5.5853 8.4530 7.0698
```



11.
Compound: SbPSe2
Source: Alexandria via LeMat-Bulk
Functional: PBE-GGA
Structure: optimized geometry

Results
Its spin magnetization is 0.00 μB per cell. Its total energy is -3.99 eV/atom. For the calculated volume, the calculation gives 22.54 Å³/atom. For the offset from the most stable computed form, the calculation gives 3.19 kcal/mol of atoms. The value obtained for the uncorrected formation energy is 0.559 eV/f.u.

Structure (extended XYZ):
```
4
Lattice="1.9975 1.1533 6.5218 -1.9975 1.1533 6.5218 0.0000 -2.3066 6.5218" Properties=species:S:1:pos:R:3 pbc="T T T"
Sb 0.0000 0.0000 0.0000
P 0.0000 0.0000 14.5434
Se 0.0000 0.0000 4.7845
Se 0.0000 0.0000 9.4444
```



12.
Compound: Sb2PSe
Source: Alexandria via LeMat-Bulk
Functional: PBE-GGA
Structure: optimized geometry

Results
Its spin magnetization is 0.00 μB per cell. Its total energy is -3.93 eV/atom. For the calculated volume, the calculation gives 29.44 Å³/atom. For the offset from the most stable computed form, the calculation gives 7.74 kcal/mol of atoms. The value obtained for the uncorrected formation energy is 1.429 eV/f.u.

Structure (extended XYZ):
```
4
Lattice="1.8965 -3.5050 0.0000 1.8965 3.5050 0.0000 0.0000 0.0000 8.8583" Properties=species:S:1:pos:R:3 pbc="T T T"
Sb 0.0000 0.0000 0.0000
Sb 1.8965 0.0000 2.8654
P 1.8965 0.0000 7.2432
Se 0.0000 0.0000 4.6762
```